Computed, not measured: a relaxed structure of SiSe3 at the PBE level of DFT.

## Properties
- M_tot (μB per cell) = 0.00
- raw formation energy (eV per atom) = 0.268
- density of states at the Fermi level (states/eV per cell) = 2.09
- raw total energy (eV/atom) = -3.701

a = 3.5582 Å, b = 3.5582 Å, c = 7.5207 Å
α = 90.00°, β = 90.00°, γ = 120.00°
With the nearest neighbours (Å) after each atom.
Atoms (fractional coordinates):
1 Si 0.6667 0.3333 0.7500  6 Se 2.63
2 Se 0.0000 0.0000 0.9678  3 Si 2.63
3 Se 0.0000 0.0000 0.5322  3 Si 2.63
4 Se 0.6667 0.3333 0.2500  6 Se 2.95

***

Computed, not measured: a relaxed structure of Si3Se5 at the PBE level of DFT.

## Properties
- M_tot (μB per cell) = 0.00
- raw formation energy (eV per atom) = 0.385
- density of states at the Fermi level (states/eV per cell) = 6.13
- raw total energy (eV/atom) = -3.827

a = 5.3491 Å, b = 5.3491 Å, c = 6.6901 Å
α = 90.00°, β = 90.00°, γ = 93.83°
With the nearest neighbours (Å) after each atom.
Atoms (fractional coordinates):
1 Se 0.7527 0.7527 0.5000  2 Si 2.36
2 Se 0.5000 0.0000 0.0000  2 Se 2.67, 2 Si 2.67
3 Se 0.0000 0.0000 0.0000  4 Se 2.67
4 Se 0.0000 0.5000 0.0000  2 Si 2.67, 2 Se 2.67
5 Se 0.2473 0.2473 0.5000  2 Si 2.36
6 Si 0.5000 0.5000 0.0000  4 Se 2.67
7 Si 0.3111 0.6889 0.5000  2 Se 2.36
8 Si 0.6889 0.3111 0.5000  2 Se 2.36

***

Computed, not measured: a relaxed structure of SiSe3 at the PBE level of DFT.

## Properties
- M_tot (μB per cell) = 0.00
- raw formation energy (eV per atom) = 0.628
- density of states at the Fermi level (states/eV per cell) = 11.82
- raw total energy (eV/atom) = -3.342

a = 5.4419 Å, b = 5.4419 Å, c = 5.4419 Å
α = 90.00°, β = 90.00°, γ = 90.00°
With the nearest neighbours (Å) after each atom.
Atoms (fractional coordinates):
1 Si 0.0000 0.0000 0.0000  12 Se 3.04
2 Si 0.5000 0.5000 0.5000  12 Se 3.04
3 Se 0.0000 0.7500 0.5000  2 Se 2.72, 4 Si 3.04
4 Se 0.5000 0.0000 0.2500  2 Se 2.72, 4 Si 3.04
5 Se 0.0000 0.2500 0.5000  2 Se 2.72, 4 Si 3.04
6 Se 0.5000 0.0000 0.7500  2 Se 2.72, 4 Si 3.04
7 Se 0.2500 0.5000 0.0000  2 Se 2.72, 4 Si 3.04
8 Se 0.7500 0.5000 0.0000  2 Se 2.72, 4 Si 3.04

***

Computed, not measured: a relaxed structure of SiSe7 at the PBE level of DFT.

## Properties
- M_tot (μB per cell) = 0.00
- raw formation energy (eV per atom) = 0.685
- density of states at the Fermi level (states/eV per cell) = 7.53
- raw total energy (eV/atom) = -3.042

a = 6.1080 Å, b = 6.1080 Å, c = 6.1080 Å
α = 60.00°, β = 60.00°, γ = 60.00°
With the nearest neighbours (Å) after each atom.
Atoms (fractional coordinates):
1 Se 0.0000 0.5000 0.0000  10 Se 3.05, 2 Si 3.05
2 Se 0.0000 0.5000 0.5000  10 Se 3.05, 2 Si 3.05
3 Se 0.0000 0.0000 0.5000  10 Se 3.05, 2 Si 3.05
4 Se 0.5000 0.0000 0.5000  10 Se 3.05, 2 Si 3.05
5 Se 0.5000 0.0000 0.0000  10 Se 3.05, 2 Si 3.05
6 Se 0.5000 0.5000 0.5000  12 Se 3.05
7 Se 0.5000 0.5000 0.0000  10 Se 3.05, 2 Si 3.05
8 Si 0.0000 0.0000 0.0000  12 Se 3.05

***

Computed, not measured: a relaxed structure of SiSe2 at the PBE level of DFT.

## Properties
- M_tot (μB per cell) = 0.00
- raw formation energy (eV per atom) = 0.065
- density of states at the Fermi level (states/eV per cell) = 1.36
- raw total energy (eV/atom) = -4.066

a = 6.8796 Å, b = 6.8796 Å, c = 6.8796 Å
α = 29.01°, β = 29.01°, γ = 29.01°
With the nearest neighbours (Å) after each atom.
Atoms (fractional coordinates):
1 Si 0.0000 0.0000 0.0000  6 Se 2.55
2 Se 0.5859 0.5859 0.5859  3 Si 2.55
3 Se 0.7474 0.7474 0.7474  3 Si 2.55

***

Computed, not measured: a relaxed structure of Si4Se at the PBE level of DFT.

## Properties
- M_tot (μB per cell) = 0.00
- raw formation energy (eV per atom) = 0.293
- density of states at the Fermi level (states/eV per cell) = 1.77
- raw total energy (eV/atom) = -4.742

a = 5.5222 Å, b = 5.5222 Å, c = 5.5222 Å
α = 133.27°, β = 133.27°, γ = 68.23°
With the nearest neighbours (Å) after each atom.
Atoms (fractional coordinates):
1 Si 0.2500 0.7500 0.5000  4 Si 2.46
2 Si 0.6271 0.6271 0.0000  5 Si 2.32-2.46
3 Si 0.3729 0.3729 0.0000  5 Si 2.32-2.46
4 Si 0.7500 0.2500 0.5000  4 Si 2.46
5 Se 0.0000 0.0000 0.0000  18 Si 3.17-3.41